A relaxed structure of K2CaSi. Source: Alexandria via LeMat-Bulk, functional GGA-PBE.

Values from the calculation:
Total magnetic moment   0.0 μB/f.u.
E   -2.0109 eV per atom
Raw formation energy   38.02 kJ per mole of atoms

Lattice parameters (Å, degrees): 3.998 5.812 6.492 90.00 90.00 90.00
Space group Pmmm (No. 47)
One atom of each set of equivalent atoms:
1 K 0.000 0.000 0.224
2 Ca 0.500 0.500 0.500
3 Si 0.500 0.500 0.000

A relaxed structure of K2CaSi. Source: Alexandria via LeMat-Bulk, functional GGA-PBE.

Values from the calculation:
Total magnetic moment   0.0 μB/f.u.
E   -2.0886 eV per atom
Raw formation energy   30.52 kJ per mole of atoms

Lattice parameters (Å, degrees): 4.095 6.381 5.507 90.00 97.48 90.00
Space group P2/m (No. 10)
One atom of each set of equivalent atoms:
1 K 0.216 0.000 0.278
2 Ca 0.500 0.500 0.000
3 Si 0.000 0.500 0.500